The following is a DFT calculation (PBE+U) of an optimized crystal structure of TlCo3F.

Cell lengths 4.277, 4.277, 4.277 Å; angles 90.00, 90.00, 90.00 degrees
Each line ends with the local moment (μB).
Fractional positions:
Tl 0.500 0.500 0.500  -0.04
Co 0.000 0.500 0.000  2.00
F 0.000 0.000 0.000  0.03
Co 0.000 0.000 0.500  2.03
Co 0.500 0.000 0.000  1.94

Summary:
electronic total energy = -3.644 eV per atom
Fermi-level density of states = 0.44 states/eV/atom
SG = Pm-3m, No. 221